Below is a geometry-optimized CdReF3 structure, with properties calculated at the PBE level.

a = 4.4767 Å, b = 4.4767 Å, c = 4.4767 Å
α = 90.00°, β = 90.00°, γ = 90.00°
Site moments in Bohr magnetons follow the coordinates.
Fractional coordinates of all 5 atoms:
Re 0.5000 0.5000 0.5000  4.55
F 0.0000 0.5000 0.0000  0.11
F 0.0000 0.0000 0.5000  0.08
F 0.5000 0.0000 0.0000  0.08
Cd 0.0000 0.0000 0.0000  0.00

- Symmetry: Pm-3m (221)
- Calculated total energy: -4.300 eV/atom
- Formation energy from raw total energies: -0.5044 eV/atom
- Density of states at the Fermi level: 0.51 states/eV per cell
- Excess energy over the best structure of this formula in the dataset: 0.269 eV/atom
- Calculated volume: 17.9 A^3/atom